Record 1
Here is a geometry-optimized CaLa3Os structure from Alexandria via LeMat-Bulk. Energies are from PBE.

Values from the calculation:
The magnetic moment is 0.0 μB/cell. The calculation puts the energy relative to the lowest polymorph listed for this composition at 300.1 meV/atom. The value obtained for the raw total energy is -5.40 eV/atom. The calculation puts the formation enthalpy at 0 K at 203 meV/atom.

abc: 4.5284 4.5284 20.2603
angles: 90.00 90.00 120.00
Closest atoms and distances in Å follow each position.
Fractional positions:
Os  0.6667  0.3333  0.2500  3 La 2.61
Os  0.3333  0.6667  0.7500  3 La 2.61
La  0.3333  0.6667  0.3610  3 Os 3.45, 3 La 3.45, 3 Ca 3.84
La  0.3333  0.6667  0.1390  3 Os 3.45, 3 La 3.45, 3 Ca 3.84
La  0.6667  0.3333  0.8610  3 Os 3.45, 3 La 3.45, 3 Ca 3.84
La  0.6667  0.3333  0.6390  3 Os 3.45, 3 La 3.45, 3 Ca 3.84
La  0.0000  0.0000  0.7500  3 Os 2.61
La  0.0000  0.0000  0.2500  3 Os 2.61
Ca  0.0000  0.0000  0.0000  6 La 3.84
Ca  0.0000  0.0000  0.5000  6 La 3.84

Record 2
Here is a geometry-optimized CaLa3Os structure from Alexandria via LeMat-Bulk. Energies are from PBE.

Values from the calculation:
The magnetic moment is 0.0 μB/cell. The calculation puts the energy relative to the lowest polymorph listed for this composition at 52.0 meV/atom. The value obtained for the raw total energy is -5.65 eV/atom. The calculation puts the formation enthalpy at 0 K at -45 meV/atom.

abc: 13.0941 9.7502 9.7502
angles: 86.90 124.98 55.02
Closest atoms and distances in Å follow each position.
Fractional positions:
Ca  0.2500  0.8012  0.3012  2 Os 3.28, 2 La 3.63
Ca  0.7500  0.8010  0.3010  2 Os 3.28, 2 La 3.63
Ca  0.7500  0.1988  0.6988  2 Os 3.28, 2 La 3.63
Ca  0.2500  0.1990  0.6990  2 Os 3.28, 2 La 3.63
La  0.2071  0.6311  0.6199  2 Os 2.98-2.99
La  0.0098  0.6915  0.8082  2 Os 2.80-2.87
La  0.7929  0.3689  0.3801  2 Os 2.98-2.99
La  0.9902  0.3085  0.1918  2 Os 2.80-2.87
La  0.5098  0.6918  0.8085  2 Os 2.80-2.87
La  0.7927  0.1205  0.1308  2 Os 2.98-3.00
La  0.7071  0.8801  0.8689  2 Os 2.98-2.99
La  0.7073  0.6308  0.6205  2 Os 2.98-3.00
La  0.2927  0.3692  0.3795  2 Os 2.98-3.00
La  0.4902  0.3082  0.1915  2 Os 2.80-2.87
La  0.2073  0.8795  0.8692  2 Os 2.98-3.00
La  0.2929  0.1199  0.1311  2 Os 2.98-2.99
Os  0.8777  0.0007  0.4991  6 La 2.80-3.00
Os  0.3777  0.0009  0.4993  6 La 2.80-3.00
Os  0.1223  0.9993  0.5009  6 La 2.80-3.00
Os  0.6223  0.9991  0.5007  6 La 2.80-3.00

Record 3
Here is a geometry-optimized CaLaOs3 structure from Alexandria via LeMat-Bulk. Energies are from PBE.

Values from the calculation:
The magnetic moment is 0.0 μB/cell. The calculation puts the energy relative to the lowest polymorph listed for this composition at 32.3 meV/atom. The value obtained for the raw total energy is -6.02 eV/atom. The calculation puts the formation enthalpy at 0 K at 2107 meV/atom.

abc: 4.7966 4.7966 4.7966
angles: 90.00 90.00 90.00
Closest atoms and distances in Å follow each position.
Fractional positions:
Os  0.0000  0.0000  0.5000  2 Ca 2.40
Os  0.5000  0.0000  0.0000  2 Ca 2.40
Os  0.0000  0.5000  0.0000  2 Ca 2.40
Ca  0.0000  0.0000  0.0000  6 Os 2.40
La  0.5000  0.5000  0.5000  12 Os 3.39

Record 4
Here is a geometry-optimized CaLa2Os structure from Alexandria via LeMat-Bulk. Energies are from PBE.

Values from the calculation:
The magnetic moment is 0.0 μB/cell. The calculation puts the energy relative to the lowest polymorph listed for this composition at 128.4 meV/atom. The value obtained for the raw total energy is -5.70 eV/atom. The calculation puts the formation enthalpy at 0 K at 74 meV/atom.

abc: 3.7659 4.6881 8.0160
angles: 73.02 90.00 90.00
Closest atoms and distances in Å follow each position.
Fractional positions:
Os  0.0000  0.7474  0.3814  1 La 2.57
La  0.5000  0.2570  0.3615  4 Os 3.01
La  0.0000  0.9137  0.0462  1 Os 2.57
Ca  0.5000  0.5818  0.7109  2 Os 3.15

Record 5
Here is a geometry-optimized CaLa3Os structure from Alexandria via LeMat-Bulk. Energies are from PBE.

Values from the calculation:
The magnetic moment is 0.0 μB/cell. The calculation puts the energy relative to the lowest polymorph listed for this composition at 49.3 meV/atom. The value obtained for the raw total energy is -5.65 eV/atom. The calculation puts the formation enthalpy at 0 K at -48 meV/atom.

abc: 23.4807 6.9924 10.2219
angles: 90.00 155.97 90.00
Closest atoms and distances in Å follow each position.
Fractional positions:
Ca  0.6547  0.5251  0.2168  2 Os 3.02-3.09
Ca  0.8453  0.0251  0.2832  2 Os 3.02-3.09
Ca  0.1547  0.9749  0.7168  2 Os 3.02-3.09
Ca  0.3453  0.4749  0.7832  2 Os 3.02-3.09
La  0.0102  0.7408  0.9269  1 Os 2.75
La  0.4898  0.2408  0.5731  1 Os 2.75
La  0.3325  0.9718  0.7703  2 Os 2.84-3.04
La  0.1604  0.2542  0.0937  1 Os 2.64
La  0.9898  0.2592  0.0731  1 Os 2.75
La  0.3396  0.7542  0.4063  1 Os 2.64
La  0.6604  0.2458  0.5937  1 Os 2.64
La  0.8396  0.7458  0.9063  1 Os 2.64
La  0.8325  0.5282  0.2703  2 Os 2.84-3.04
La  0.6675  0.0282  0.2297  2 Os 2.84-3.04
La  0.5102  0.7592  0.4269  1 Os 2.75
La  0.1675  0.4718  0.7297  2 Os 2.84-3.04
Os  0.5996  0.7961  0.8687  3 La 2.64-2.84
Os  0.0996  0.7039  0.3687  3 La 2.64-2.84
Os  0.9004  0.2961  0.6313  3 La 2.64-2.84
Os  0.4004  0.2039  0.1313  3 La 2.64-2.84

Record 6
Here is a geometry-optimized CaLaOs2 structure from Alexandria via LeMat-Bulk. Energies are from PBE.

Values from the calculation:
The magnetic moment is 0.0 μB/cell. The calculation puts the energy relative to the lowest polymorph listed for this composition at 224.7 meV/atom. The value obtained for the raw total energy is -6.85 eV/atom. The calculation puts the formation enthalpy at 0 K at 500 meV/atom.

abc: 4.5959 3.0574 6.1088
angles: 79.87 90.00 90.00
Closest atoms and distances in Å follow each position.
Fractional positions:
Ca  0.5000  0.2500  0.2500  2 Ca 3.06, 2 La 3.17, 4 Os 3.19
Os  0.0000  0.5501  0.5544  2 La 2.71, 2 Os 2.74-2.87
Os  0.0000  0.9499  0.9456  2 La 2.71, 2 Os 2.74-2.87
La  0.5000  0.7500  0.7500  4 Os 2.71